Record 1
Computed, not measured: a geometry-optimized Cd2CuOs structure at the PBE level of DFT.

Cell lengths 6.434, 6.434, 6.434 Å; angles 90.00, 90.00, 90.00 degrees
Space group F-43m (No. 216)
Symmetry-distinct sites (fractional):
Cd1 0.000 0.000 0.000
Cd2 0.250 0.250 0.250
Cu1 0.250 0.250 0.750
Os1 0.000 0.000 0.500

Offset from the most stable computed form, kcal/mol of atoms: 4.66
Formation enthalpy at 0 K, meV/atom: 597
Uncorrected energy, eV/cell: -59.070
Density of states at the Fermi level, states/eV/cell: 20.689
Total magnetization, μB per cell: 0.0


Record 2
Computed, not measured: a geometry-optimized TlGa2As2 structure at the PBE level of DFT.

Cell lengths 4.266, 4.266, 13.768 Å; angles 90.00, 90.00, 90.00 degrees
Space group I4/mmm (No. 139)
Symmetry-distinct sites (fractional):
Tl1 0.000 0.000 0.000
Ga1 0.000 0.500 0.250
As1 0.000 0.000 0.361

Offset from the most stable computed form, kcal/mol of atoms: 0.00
Formation enthalpy at 0 K, meV/atom: -84
Uncorrected energy, eV/cell: -36.282
Density of states at the Fermi level, states/eV/cell: 2.912
Total magnetization, μB per cell: 0.0


Record 3
Computed, not measured: a geometry-optimized SrMoRh2 structure at the PBE level of DFT.

Cell lengths 3.085, 4.539, 5.797 Å; angles 90.00, 99.70, 90.00 degrees
Space group Pm (No. 6)
Symmetry-distinct sites (fractional):
Sr1 0.000 0.000 0.000
Mo1 0.801 0.500 0.435
Rh1 0.419 0.500 0.781
Rh2 0.438 0.000 0.491

Offset from the most stable computed form, kcal/mol of atoms: 5.57
Formation enthalpy at 0 K, meV/atom: 262
Uncorrected energy, eV/cell: -26.169
Density of states at the Fermi level, states/eV/cell: 4.331
Total magnetization, μB per cell: 0.0


Record 4
Computed, not measured: a geometry-optimized AcGaPd3 structure at the PBE level of DFT.

Cell lengths 5.998, 7.634, 4.829 Å; angles 90.00, 90.00, 90.00 degrees
Space group Cmmm (No. 65)
Symmetry-distinct sites (fractional):
Ac1 0.000 0.000 0.000
Ga1 0.000 0.500 0.500
Pd1 0.000 0.500 0.000
Pd2 0.250 0.250 0.500

Offset from the most stable computed form, kcal/mol of atoms: 3.82
Formation enthalpy at 0 K, meV/atom: -598
Uncorrected energy, eV/cell: -51.406
Density of states at the Fermi level, states/eV/cell: 5.357
Total magnetization, μB per cell: 0.0


Record 5
Computed, not measured: a geometry-optimized Al2Pd2O structure at the PBE level of DFT.

Cell lengths 3.722, 3.722, 11.581 Å; angles 90.00, 90.00, 90.00 degrees
Space group I4/mmm (No. 139)
Symmetry-distinct sites (fractional):
Al1 0.000 0.500 0.250
Pd1 0.000 0.000 0.114
O1 0.000 0.000 0.500

Offset from the most stable computed form, kcal/mol of atoms: 6.22
Uncorrected energy, eV/cell: -47.001
Density of states at the Fermi level, states/eV/cell: 0.748
E_form (uncorrected), eV per atom: -0.134
Total magnetization, μB per cell: 0.0


Record 6
Computed, not measured: a geometry-optimized NbCSe2N structure at the PBE level of DFT.

Cell lengths 5.585, 5.585, 2.554 Å; angles 90.00, 90.00, 90.00 degrees
Space group P4/mmm (No. 123)
Symmetry-distinct sites (fractional):
Nb1 0.000 0.000 0.000
C1 0.500 0.500 0.500
Se1 0.000 0.500 0.500
N1 0.500 0.500 0.000

Offset from the most stable computed form, kcal/mol of atoms: 0.00
Uncorrected energy, eV/cell: -30.246
Density of states at the Fermi level, states/eV/cell: 4.158
E_form (uncorrected), eV per atom: 0.868
Total magnetization, μB per cell: 0.6


Record 7
Computed, not measured: a geometry-optimized Cd3Hg6Pb structure at the PBE level of DFT.

Cell lengths 8.966, 15.415, 7.537 Å; angles 90.00, 90.00, 90.00 degrees
Space group Cmc2_1 (No. 36)
Symmetry-distinct sites (fractional):
Cd1 0.000 0.096 0.000
Cd2 0.171 0.374 0.479
Hg1 0.000 0.228 0.697
Hg2 0.000 0.470 0.792
Hg3 0.186 0.182 0.333
Hg4 0.190 0.050 0.637
Pb1 0.000 0.324 0.089

Offset from the most stable computed form, kcal/mol of atoms: 0.28
Formation enthalpy at 0 K, meV/atom: 35
Uncorrected energy, eV/cell: -31.656
Density of states at the Fermi level, states/eV/cell: 15.598
Total magnetization, μB per cell: 0.0


Record 8
Computed, not measured: a geometry-optimized MgInSb2 structure at the PBE level of DFT.

Cell lengths 3.382, 6.045, 5.236 Å; angles 90.00, 90.02, 90.00 degrees
Space group Pm (No. 6)
Symmetry-distinct sites (fractional):
Mg1 0.000 0.000 0.000
In1 0.503 0.500 0.501
Sb1 0.002 0.500 0.001
Sb2 0.501 0.000 0.500

Offset from the most stable computed form, kcal/mol of atoms: 0.03
Uncorrected energy, eV/cell: -12.920
Density of states at the Fermi level, states/eV/cell: 2.310
E_form (uncorrected), eV per atom: -0.085
Total magnetization, μB per cell: 0.0


Which formula does entry 4 have? AcGaPd3


Which of these has the lowest uncorrected energy? Cd2CuOs


Please write out number 4 again, unchanged.
Computed, not measured: a geometry-optimized AcGaPd3 structure at the PBE level of DFT.

Cell lengths 5.998, 7.634, 4.829 Å; angles 90.00, 90.00, 90.00 degrees
Space group Cmmm (No. 65)
Symmetry-distinct sites (fractional):
Ac1 0.000 0.000 0.000
Ga1 0.000 0.500 0.500
Pd1 0.000 0.500 0.000
Pd2 0.250 0.250 0.500

Offset from the most stable computed form, kcal/mol of atoms: 3.82
Formation enthalpy at 0 K, meV/atom: -598
Uncorrected energy, eV/cell: -51.406
Density of states at the Fermi level, states/eV/cell: 5.357
Total magnetization, μB per cell: 0.0